# 1
The following is a PBE-GGA calculation of an optimized crystal structure of TcTe2Pt, from the Alexandria database.

Geometry as CIF:
```
data_TcTe2Pt
_cell_length_a 9.748
_cell_length_b 9.748
_cell_length_c 9.748
_cell_angle_alpha 20.22
_cell_angle_beta 20.22
_cell_angle_gamma 20.22
_space_group_name_H-M_alt 'P 1'
_space_group_IT_number 1
loop_
_space_group_symop_operation_xyz
'x,y,z'
loop_
_atom_site_label
_atom_site_fract_x
_atom_site_fract_y
_atom_site_fract_z
Pt1 0.493 0.493 0.493
Tc1 0.757 0.757 0.757
Te1 0.029 0.029 0.029
Te2 0.221 0.221 0.221
```

Computed properties:
Formation energy from raw total energies (eV/atom): 0.18
Magnetic moment (μB per cell): 0.0
SG: R3m, No. 160
Calculated density (Mg/m³): 9.40
Polymorph energy (0 for the lowest one) (eV/atom): 0.312
DFT total energy (Ry per atom): -0.4035



# 2
The following is a PBE-GGA calculation of an optimized crystal structure of BeSiTc, from the Alexandria database.

Geometry as CIF:
```
data_BeSiTc
_cell_length_a 4.426
_cell_length_b 4.426
_cell_length_c 4.426
_cell_angle_alpha 140.10
_cell_angle_beta 140.05
_cell_angle_gamma 57.74
_space_group_name_H-M_alt 'P 1'
_space_group_IT_number 1
loop_
_space_group_symop_operation_xyz
'x,y,z'
loop_
_atom_site_label
_atom_site_fract_x
_atom_site_fract_y
_atom_site_fract_z
Si1 0.335 0.335 0.000
Tc1 0.663 0.663 0.000
Be1 0.001 0.001 0.000
```

Computed properties:
Formation energy from raw total energies (eV/atom): -0.31
Magnetic moment (μB per cell): 0.4
SG: I4mm, No. 107
Calculated density (Mg/m³): 6.34
Polymorph energy (0 for the lowest one) (eV/atom): 0.000
DFT total energy (Ry per atom): -0.5007



# 3
The following is a PBE-GGA calculation of an optimized crystal structure of CdCoOs2, from the Alexandria database.

Geometry as CIF:
```
data_CdCoOs2
_cell_length_a 9.199
_cell_length_b 9.199
_cell_length_c 9.199
_cell_angle_alpha 17.14
_cell_angle_beta 17.14
_cell_angle_gamma 17.14
_space_group_name_H-M_alt 'P 1'
_space_group_IT_number 1
loop_
_space_group_symop_operation_xyz
'x,y,z'
loop_
_atom_site_label
_atom_site_fract_x
_atom_site_fract_y
_atom_site_fract_z
Co1 0.750 0.750 0.750
Cd1 0.250 0.250 0.250
Os1 0.491 0.491 0.491
Os2 0.009 0.009 0.009
```

Computed properties:
Magnetic moment (μB per cell): 1.6
SG: R-3m, No. 166
Calculated density (Mg/m³): 15.53
Formation energy (meV per atom): 410.3
DFT total energy (Ry per atom): -0.5299



# 4
The following is a PBE-GGA calculation of an optimized crystal structure of InReRu2, from the Alexandria database.

Geometry as CIF:
```
data_InReRu2
_cell_length_a 5.037
_cell_length_b 5.037
_cell_length_c 5.037
_cell_angle_alpha 135.30
_cell_angle_beta 135.30
_cell_angle_gamma 65.06
_space_group_name_H-M_alt 'P 1'
_space_group_IT_number 1
loop_
_space_group_symop_operation_xyz
'x,y,z'
loop_
_atom_site_label
_atom_site_fract_x
_atom_site_fract_y
_atom_site_fract_z
Re1 0.750 0.250 0.500
Ru1 0.250 0.750 0.500
Ru2 0.000 0.000 0.000
In1 0.500 0.500 0.000
```

Computed properties:
Magnetic moment (μB per cell): 0.0
SG: I-4m2, No. 119
Calculated density (Mg/m³): 13.41
Formation energy (meV per atom): 348.3
DFT total energy (Ry per atom): -0.5943



# 5
The following is a PBE-GGA calculation of an optimized crystal structure of Pm2TcGe4Ir3, from the Alexandria database.

Geometry as CIF:
```
data_Pm2TcGe4Ir3
_cell_length_a 4.344
_cell_length_b 4.344
_cell_length_c 9.914
_cell_angle_alpha 90.00
_cell_angle_beta 90.00
_cell_angle_gamma 90.00
_space_group_name_H-M_alt 'P 1'
_space_group_IT_number 1
loop_
_space_group_symop_operation_xyz
'x,y,z'
loop_
_atom_site_label
_atom_site_fract_x
_atom_site_fract_y
_atom_site_fract_z
Ge1 0.500 0.000 0.625
Ge2 0.500 0.500 0.000
Ge3 0.000 0.000 0.000
Ge4 0.000 0.500 0.375
Ir1 0.500 0.000 0.876
Ir2 0.000 0.500 0.124
Ir3 0.000 0.000 0.500
Pm1 0.500 0.000 0.253
Pm2 0.000 0.500 0.747
Tc1 0.500 0.500 0.500
```

Computed properties:
Magnetic moment (μB per cell): 0.0
SG: P-4m2, No. 115
Calculated density (Mg/m³): 11.14
Formation energy (meV per atom): -682.7
DFT total energy (Ry per atom): -0.5273



# 6
The following is a PBE-GGA calculation of an optimized crystal structure of Pm6TmTl5, from the Alexandria database.

Geometry as CIF:
```
data_Pm6TmTl5
_cell_length_a 5.078
_cell_length_b 9.051
_cell_length_c 9.298
_cell_angle_alpha 119.13
_cell_angle_beta 105.85
_cell_angle_gamma 90.00
_space_group_name_H-M_alt 'P 1'
_space_group_IT_number 1
loop_
_space_group_symop_operation_xyz
'x,y,z'
loop_
_atom_site_label
_atom_site_fract_x
_atom_site_fract_y
_atom_site_fract_z
Pm1 0.829 0.090 0.658
Pm2 0.500 0.733 0.000
Pm3 0.171 0.910 0.342
Pm4 0.500 0.267 0.000
Pm5 0.171 0.432 0.342
Pm6 0.829 0.568 0.658
Tl1 0.351 0.851 0.702
Tl2 0.649 0.149 0.298
Tl3 0.326 0.326 0.652
Tl4 0.674 0.674 0.348
Tl5 0.000 0.500 0.000
Tm1 0.000 0.000 0.000
```

Computed properties:
Magnetic moment (μB per cell): 0.0
SG: Immm, No. 71
Calculated density (Mg/m³): 9.65
Formation energy (meV per atom): -298.8
DFT total energy (Ry per atom): -0.2964



# 7
The following is a PBE-GGA calculation of an optimized crystal structure of Ca3TbNd3S8, from the Alexandria database.

Geometry as CIF:
```
data_Ca3TbNd3S8
_cell_length_a 8.080
_cell_length_b 8.080
_cell_length_c 8.101
_cell_angle_alpha 119.92
_cell_angle_beta 90.00
_cell_angle_gamma 120.00
_space_group_name_H-M_alt 'P 1'
_space_group_IT_number 1
loop_
_space_group_symop_operation_xyz
'x,y,z'
loop_
_atom_site_label
_atom_site_fract_x
_atom_site_fract_y
_atom_site_fract_z
Ca1 0.500 0.500 0.000
Ca2 0.000 0.000 0.000
Ca3 0.000 0.500 0.000
Nd1 0.500 0.500 0.500
Nd2 0.500 0.000 0.500
Nd3 0.000 0.500 0.500
S1 0.758 0.999 0.257
S2 0.759 0.001 0.743
S3 0.241 0.999 0.257
S4 0.242 0.001 0.743
S5 0.758 0.516 0.257
S6 0.248 0.496 0.245
S7 0.752 0.504 0.755
S8 0.242 0.484 0.743
Tb1 0.000 0.000 0.500
```

Computed properties:
Formation energy from raw total energies (eV/atom): -2.08
Magnetic moment (μB per cell): 0.0
SG: R-3m, No. 166
Calculated density (Mg/m³): 4.29
DFT total energy (Ry per atom): -0.4365



# 8
The following is a PBE-GGA calculation of an optimized crystal structure of Cs2KMgF5, from the Alexandria database.

Geometry as CIF:
```
data_Cs2KMgF5
_cell_length_a 4.101
_cell_length_b 6.362
_cell_length_c 7.859
_cell_angle_alpha 113.87
_cell_angle_beta 105.13
_cell_angle_gamma 90.00
_space_group_name_H-M_alt 'P 1'
_space_group_IT_number 1
loop_
_space_group_symop_operation_xyz
'x,y,z'
loop_
_atom_site_label
_atom_site_fract_x
_atom_site_fract_y
_atom_site_fract_z
F1 0.000 0.000 0.000
F2 0.605 0.334 0.209
F3 0.395 0.125 0.791
F4 0.395 0.666 0.791
F5 0.605 0.875 0.209
Mg1 0.500 0.000 0.000
Cs1 0.785 0.785 0.570
Cs2 0.215 0.215 0.430
K1 0.000 0.500 0.000
```

Computed properties:
Formation energy from raw total energies (eV/atom): -2.95
Magnetic moment (μB per cell): 0.0
SG: Immm, No. 71
Calculated density (Mg/m³): 3.92
DFT total energy (Ry per atom): -0.3294



# 9
The following is a PBE-GGA calculation of an optimized crystal structure of Sm11Y4Ho9, from the Alexandria database.

Geometry as CIF:
```
data_Sm11Y4Ho9
_cell_length_a 3.644
_cell_length_b 15.343
_cell_length_c 15.343
_cell_angle_alpha 113.26
_cell_angle_beta 90.00
_cell_angle_gamma 90.00
_space_group_name_H-M_alt 'P 1'
_space_group_IT_number 1
loop_
_space_group_symop_operation_xyz
'x,y,z'
loop_
_atom_site_label
_atom_site_fract_x
_atom_site_fract_y
_atom_site_fract_z
Ho1 0.500 0.835 0.370
Ho2 0.500 0.067 0.213
Ho3 0.500 0.165 0.630
Ho4 0.500 0.213 0.067
Ho5 0.500 0.500 0.500
Ho6 0.500 0.933 0.787
Ho7 0.500 0.370 0.835
Ho8 0.500 0.787 0.933
Ho9 0.500 0.630 0.165
Y1 0.500 0.241 0.444
Y2 0.500 0.759 0.556
Y3 0.500 0.444 0.241
Y4 0.500 0.556 0.759
Sm1 0.000 0.958 0.595
Sm2 0.000 0.710 0.710
Sm3 0.000 0.405 0.042
Sm4 0.000 0.632 0.368
Sm5 0.000 0.000 0.000
Sm6 0.000 0.368 0.632
Sm7 0.000 0.839 0.161
Sm8 0.000 0.161 0.839
Sm9 0.000 0.290 0.290
Sm10 0.000 0.042 0.405
Sm11 0.000 0.595 0.958
```

Computed properties:
Magnetic moment (μB per cell): 0.0
SG: Cmmm, No. 65
Calculated density (Mg/m³): 7.36
Formation energy (meV per atom): 62.6
DFT total energy (Ry per atom): -0.3597



# 10
The following is a PBE-GGA calculation of an optimized crystal structure of CeErNiRu, from the Alexandria database.

Geometry as CIF:
```
data_CeErNiRu
_cell_length_a 4.815
_cell_length_b 4.815
_cell_length_c 4.815
_cell_angle_alpha 60.00
_cell_angle_beta 60.00
_cell_angle_gamma 60.00
_space_group_name_H-M_alt 'P 1'
_space_group_IT_number 1
loop_
_space_group_symop_operation_xyz
'x,y,z'
loop_
_atom_site_label
_atom_site_fract_x
_atom_site_fract_y
_atom_site_fract_z
Er1 0.500 0.500 0.500
Ni1 0.250 0.250 0.250
Ru1 0.750 0.750 0.750
Ce1 0.000 0.000 0.000
```

Computed properties:
Magnetic moment (μB per cell): 0.3
SG: F-43m, No. 216
Calculated density (Mg/m³): 9.83
Formation energy (meV per atom): -356.5
DFT total energy (Ry per atom): -0.4957



# 11
The following is a PBE-GGA calculation of an optimized crystal structure of TiIr6Os, from the Alexandria database.

Geometry as CIF:
```
data_TiIr6Os
_cell_length_a 3.878
_cell_length_b 5.476
_cell_length_c 5.476
_cell_angle_alpha 90.00
_cell_angle_beta 90.00
_cell_angle_gamma 90.00
_space_group_name_H-M_alt 'P 1'
_space_group_IT_number 1
loop_
_space_group_symop_operation_xyz
'x,y,z'
loop_
_atom_site_label
_atom_site_fract_x
_atom_site_fract_y
_atom_site_fract_z
Ir1 0.000 0.254 0.254
Ir2 0.000 0.746 0.746
Ir3 0.000 0.254 0.746
Ir4 0.500 0.000 0.500
Ir5 0.000 0.746 0.254
Ir6 0.500 0.500 0.000
Os1 0.500 0.500 0.500
Ti1 0.500 0.000 0.000
```

Computed properties:
Magnetic moment (μB per cell): 0.0
SG: P4/mmm, No. 123
Calculated density (Mg/m³): 19.87
Formation energy (meV per atom): -320.7
DFT total energy (Ry per atom): -0.6877



# 12
The following is a PBE-GGA calculation of an optimized crystal structure of InBi2PbI, from the Alexandria database.

Geometry as CIF:
```
data_InBi2PbI
_cell_length_a 6.012
_cell_length_b 5.998
_cell_length_c 6.012
_cell_angle_alpha 90.00
_cell_angle_beta 90.00
_cell_angle_gamma 90.00
_space_group_name_H-M_alt 'P 1'
_space_group_IT_number 1
loop_
_space_group_symop_operation_xyz
'x,y,z'
loop_
_atom_site_label
_atom_site_fract_x
_atom_site_fract_y
_atom_site_fract_z
I1 0.000 0.000 0.000
In1 0.000 0.500 0.000
Pb1 0.500 0.500 0.500
Bi1 0.500 0.000 0.000
Bi2 0.000 0.000 0.500
```

Computed properties:
Formation energy from raw total energies (eV/atom): 0.66
Magnetic moment (μB per cell): 0.0
SG: P4/mmm, No. 123
Calculated density (Mg/m³): 6.64
DFT total energy (Ry per atom): -0.1832